Entry from Alexandria via LeMat-Bulk: crystalline Dy6Zn2Au at its relaxed geometry (PBE).

Summary:
- DFT total energy: -72.4 eV per cell
- Total magnetization: 0.00 μB per formula unit

Geometry as CIF:
```
data_Dy6Zn2Au
_space_group_name_H-M_alt 'P 1'
_space_group_IT_number 1
_cell_length_a 8.4840
_cell_length_b 8.4840
_cell_length_c 8.4840
_cell_angle_alpha 110.80
_cell_angle_beta 109.46
_cell_angle_gamma 108.17
loop_
_space_group_symop_operation_xyz
'x,y,z'
loop_
_atom_site_label
_atom_site_fract_x
_atom_site_fract_y
_atom_site_fract_z
Dy1 0.0416 0.2173 0.8242
Dy2 0.2530 0.3054 0.5584
Dy3 0.2530 0.6946 0.9476
Dy4 0.2637 0.5878 0.3241
Dy5 0.2637 0.9396 0.6759
Dy6 0.3931 0.2173 0.1758
Dy7 0.6069 0.7827 0.8242
Dy8 0.7363 0.0604 0.3241
Dy9 0.7363 0.4122 0.6759
Dy10 0.7470 0.3054 0.0524
Dy11 0.7470 0.6946 0.4416
Dy12 0.9584 0.7827 0.1758
Zn1 0.0000 0.1357 0.1357
Zn2 0.0000 0.8643 0.8643
Zn3 0.3726 0.0000 0.3726
Zn4 0.6274 0.0000 0.6274
Au1 0.0000 0.5000 0.5000
Au2 0.5000 0.5000 0.0000
```

=====

Entry from Alexandria via LeMat-Bulk: crystalline DyZn4Au8 at its relaxed geometry (PBE).

Summary:
- Energy relative to the lowest polymorph listed for this composition: 0.000 eV per atom
- DFT total energy: -40.4 eV per cell
- Total magnetization: 0.00 μB per formula unit

Geometry as CIF:
```
data_DyZn4Au8
_space_group_name_H-M_alt 'P 1'
_space_group_IT_number 1
_cell_length_a 7.0964
_cell_length_b 7.0964
_cell_length_c 7.0964
_cell_angle_alpha 98.42
_cell_angle_beta 98.42
_cell_angle_gamma 135.01
loop_
_space_group_symop_operation_xyz
'x,y,z'
loop_
_atom_site_label
_atom_site_fract_x
_atom_site_fract_y
_atom_site_fract_z
Dy1 0.0000 0.0000 0.0000
Zn1 0.0000 0.0000 0.5000
Zn2 0.0000 0.5000 0.0000
Zn3 0.5000 0.0000 0.0000
Zn4 0.5000 0.5000 0.5000
Au1 0.0000 0.3307 0.3307
Au2 0.0000 0.6693 0.6693
Au3 0.2829 0.5000 0.7829
Au4 0.3307 0.0000 0.3307
Au5 0.5000 0.2829 0.7829
Au6 0.5000 0.7171 0.2171
Au7 0.6693 0.0000 0.6693
Au8 0.7171 0.5000 0.2171
```

=====

Entry from Alexandria via LeMat-Bulk: crystalline Dy2Zn3Au5 at its relaxed geometry (PBE).

Summary:
- Energy relative to the lowest polymorph listed for this composition: 0.000 eV per atom
- DFT total energy: -69.8 eV per cell
- Total magnetization: 0.00 μB per formula unit

Geometry as CIF:
```
data_Dy2Zn3Au5
_space_group_name_H-M_alt 'P 1'
_space_group_IT_number 1
_cell_length_a 12.4062
_cell_length_b 12.4062
_cell_length_c 7.1812
_cell_angle_alpha 90.00
_cell_angle_beta 90.00
_cell_angle_gamma 159.52
loop_
_space_group_symop_operation_xyz
'x,y,z'
loop_
_atom_site_label
_atom_site_fract_x
_atom_site_fract_y
_atom_site_fract_z
Dy1 0.0240 0.9760 0.5000
Dy2 0.3200 0.6800 0.5976
Dy3 0.6800 0.3200 0.0976
Dy4 0.9760 0.0240 0.0000
Zn1 0.1224 0.8776 0.7620
Zn2 0.2840 0.7160 0.1546
Zn3 0.4539 0.5461 0.7068
Zn4 0.5461 0.4539 0.2068
Zn5 0.7160 0.2840 0.6546
Zn6 0.8776 0.1224 0.2620
Au1 0.0983 0.9017 0.1340
Au2 0.1945 0.8055 0.4128
Au3 0.2238 0.7762 0.8555
Au4 0.3836 0.6164 0.9966
Au5 0.4458 0.5542 0.3330
Au6 0.5542 0.4458 0.8330
Au7 0.6164 0.3836 0.4966
Au8 0.7762 0.2238 0.3555
Au9 0.8055 0.1945 0.9128
Au10 0.9017 0.0983 0.6340
```